1.
Entry from Alexandria via LeMat-Bulk: a relaxed structure of ErCd4Hg (PBE).

The calculation puts the density of states at the Fermi level at 3.23 states/eV/f.u. The value obtained for the polymorph energy (0 for the lowest one) is 0.78 eV/f.u. The formation energy from the elements is -0.040 eV per atom.

a b c (Å): 8.336 8.336 8.336
angles (deg): 90.00 90.00 90.00
Space group F-43m (No. 216)
Inequivalent atoms, fractional coordinates:
Er 0.000 0.000 0.000 x4
Cd 0.126 0.126 0.374 x16
Hg 0.250 0.250 0.750 x4

***

2.
Entry from Alexandria via LeMat-Bulk: a relaxed structure of K3CdIn (PBE).

The calculation puts the density of states at the Fermi level at 3.64 states/eV/f.u. The value obtained for the polymorph energy (0 for the lowest one) is 1.22 eV/f.u. The formation energy from the elements is 0.207 eV per atom.

a b c (Å): 6.799 6.799 6.799
angles (deg): 90.00 90.00 90.00
Space group Pm-3m (No. 221)
Inequivalent atoms, fractional coordinates:
K 0.000 0.000 0.500 x3
Cd 0.500 0.500 0.500 x1
In 0.000 0.000 0.000 x1

***

3.
Entry from Alexandria via LeMat-Bulk: a relaxed structure of NdZrTc4 (PBE).

The calculation puts the density of states at the Fermi level at 10.98 states/eV/f.u. The formation energy from the elements is -0.053 eV per atom.

a b c (Å): 7.619 7.619 7.619
angles (deg): 90.00 90.00 90.00
Space group F-43m (No. 216)
Inequivalent atoms, fractional coordinates:
Nd 0.000 0.000 0.000 x4
Zr 0.250 0.250 0.250 x4
Tc 0.125 0.125 0.625 x16

***

4.
Entry from Alexandria via LeMat-Bulk: a relaxed structure of Th2ReI (PBE).

The calculation puts the density of states at the Fermi level at 0.92 states/eV/f.u. The value obtained for the polymorph energy (0 for the lowest one) is 0.00 eV/f.u.

a b c (Å): 4.2355 4.2355 24.6144
angles (deg): 90.00 90.00 120.00
Space group R-3m (No. 166, hexagonal axes)
Inequivalent atoms, fractional coordinates:
Th 0.0000 0.0000 0.2255 x6
Re 0.0000 0.0000 0.5000 x3
I 0.0000 0.0000 0.0000 x3

***

5.
Entry from Alexandria via LeMat-Bulk: a relaxed structure of SrFeCl5 (PBE).

Its calculated total energy is -4.231 eV per atom.

a b c (Å): 10.898 10.052 10.628
angles (deg): 90.00 120.10 90.00
Space group C2/c (No. 15)
Inequivalent atoms, fractional coordinates:
Sr 0.000 0.000 0.000 x4
Fe 0.000 0.408 0.250 x4
Cl 0.000 0.086 0.750 x4
Cl 0.033 0.286 0.438 x8
Cl 0.185 0.460 0.820 x8

***

6.
Entry from Alexandria via LeMat-Bulk: a relaxed structure of Ni6P7 (PBE).

The calculation puts the density of states at the Fermi level at 10.26 states/eV/f.u. The formation energy from the elements is 0.287 eV per atom.

a b c (Å): 5.1413 5.1413 22.5138
angles (deg): 90.00 90.00 120.00
Space group R-3m (No. 166, hexagonal axes)
Inequivalent atoms, fractional coordinates:
Ni 0.0000 0.0000 0.0651 x6
Ni 0.0000 0.0000 0.1727 x6
Ni 0.0000 0.0000 0.3395 x6
P 0.0000 0.0000 0.5000 x3
P 0.0239 0.5120 0.9192 x18

***

7.
Entry from Alexandria via LeMat-Bulk: a relaxed structure of La2Tb2Dy (PBE).

The calculation puts the density of states at the Fermi level at 8.17 states/eV/f.u. The value obtained for the polymorph energy (0 for the lowest one) is 1.28 eV/f.u. The formation energy from the elements is 0.493 eV per atom.

a b c (Å): 10.591 10.591 6.438
angles (deg): 90.00 90.00 90.00
Space group I4/mcm (No. 140)
Inequivalent atoms, fractional coordinates:
La 0.110 0.390 0.000 x8
Tb 0.189 0.311 0.500 x8
Dy 0.000 0.000 0.250 x4

***

8.
Entry from Alexandria via LeMat-Bulk: a relaxed structure of Ba2ZnPt (PBE).

The calculation puts the density of states at the Fermi level at 2.88 states/eV/f.u. The formation energy from the elements is -0.521 eV per atom.

a b c (Å): 4.695 4.591 6.681
angles (deg): 90.00 110.52 90.00
Space group Pm (No. 6)
Inequivalent atoms, fractional coordinates:
Ba 0.000 0.000 0.000 x1
Ba 0.276 0.500 0.553 x1
Zn 0.585 0.500 0.170 x1
Pt 0.686 0.000 0.375 x1

***

9.
Entry from Alexandria via LeMat-Bulk: a relaxed structure of PbBr2F (PBE).

The calculation puts the density of states at the Fermi level at 5.50 states/eV/f.u. The value obtained for the polymorph energy (0 for the lowest one) is 3.68 eV/f.u.

a b c (Å): 3.5306 3.5306 28.2758
angles (deg): 90.00 90.00 120.00
Space group R-3m (No. 166, hexagonal axes)
Inequivalent atoms, fractional coordinates:
Pb 0.0000 0.0000 0.0000 x3
Br 0.0000 0.0000 0.0996 x6
F 0.0000 0.0000 0.5000 x3

***

10.
Entry from Alexandria via LeMat-Bulk: a relaxed structure of Fe3AgC (PBE).

The calculation puts the density of states at the Fermi level at 6.94 states/eV/f.u. The value obtained for the polymorph energy (0 for the lowest one) is 12.61 eV/f.u. The formation energy from the elements is 2.752 eV per atom.

a b c (Å): 4.696 4.696 4.696
angles (deg): 90.00 90.00 90.00
Space group Pm-3m (No. 221)
Inequivalent atoms, fractional coordinates:
Fe 0.000 0.000 0.500 x3
Ag 0.000 0.000 0.000 x1
C 0.500 0.500 0.500 x1

***

11.
Entry from Alexandria via LeMat-Bulk: a relaxed structure of TaTi3N (PBE).

The calculation puts the density of states at the Fermi level at 4.21 states/eV/f.u. The value obtained for the polymorph energy (0 for the lowest one) is 0.00 eV/f.u.

a b c (Å): 9.706 4.161 8.140
angles (deg): 90.00 115.52 90.00
Space group C2/m (No. 12)
Inequivalent atoms, fractional coordinates:
Ta 0.135 0.000 0.452 x4
Ti 0.111 0.500 0.184 x4
Ti 0.122 0.500 0.678 x4
Ti 0.140 0.000 0.939 x4
N 0.124 0.500 0.936 x4

***

12.
Entry from Alexandria via LeMat-Bulk: a relaxed structure of TeIrI (PBE).

Its calculated total energy is -4.667 eV per atom.

a b c (Å): 3.9701 3.9701 7.0035
angles (deg): 90.00 90.00 120.00
Space group P3m1 (No. 156)
Inequivalent atoms, fractional coordinates:
Te 0.0000 0.0000 0.0000 x1
Ir 0.3333 0.6667 0.8086 x1
I 0.6667 0.3333 0.5893 x1